No. 1
# Pm2YEr (PBE, optimized geometry)
data_Pm2YEr
_chemical_formula_sum 'Pm4 Y2 Er2'
_cell_length_a 3.6600
_cell_length_b 11.5055
_cell_length_c 6.3255
_cell_angle_alpha 90.00
_cell_angle_beta 90.00
_cell_angle_gamma 90.00
_space_group_name_H-M_alt 'I m m 2'
_space_group_IT_number 44
_space_group_name_Hall 'I 2 -2'
loop_
_atom_site_label
_atom_site_type_symbol
_atom_site_fract_x
_atom_site_fract_y
_atom_site_fract_z
Pm1 Pm 0.0000 0.2484 0.0000
Y1 Y 0.0000 0.0000 0.3332
Er1 Er 0.0000 0.5000 0.3315
# DFT formation energy (meV/atom): 28
# N(E_F) (states/eV/cell): 15.0
# Raw total energy (eV for the cell shown): -40.83
# Spin magnetization (μB/f.u.): 0.0
# Energy above the lowest structure with this stoichiometry (eV/atom): 0.015


No. 2
# ScZn4Rh (PBE, optimized geometry)
data_ScZn4Rh
_chemical_formula_sum 'Sc4 Zn16 Rh4'
_cell_length_a 7.0880
_cell_length_b 7.0880
_cell_length_c 7.0880
_cell_angle_alpha 90.00
_cell_angle_beta 90.00
_cell_angle_gamma 90.00
_space_group_name_H-M_alt 'F -4 3 m'
_space_group_IT_number 216
_space_group_name_Hall 'F -4 2 3'
loop_
_atom_site_label
_atom_site_type_symbol
_atom_site_fract_x
_atom_site_fract_y
_atom_site_fract_z
Sc1 Sc 0.0000 0.0000 0.0000
Zn1 Zn 0.1243 0.1243 0.3757
Rh1 Rh 0.2500 0.2500 0.7500
# DFT formation energy (meV/atom): -470
# Raw total energy (eV for the cell shown): -86.40
# Spin magnetization (μB/f.u.): 0.0